# 1
First-principles (GGA-PBE) data for a relaxed Ce3Pu2Tl3 crystal, as listed in Alexandria.

DOS at the Fermi energy: 1.58 states/eV/atom
spin magnetization: 1.865 μB per atom
DFT total energy: -6.778 eV/atom

```
Ce3Pu2Tl3
1.0
4.841 0.000 0.000
-2.420 5.570 0.000
0.000 0.000 16.517
Ce Pu Tl
6 4 6
Direct
0.645 0.289 0.447 Ce
0.355 0.711 0.947 Ce
0.645 0.289 0.053 Ce
0.355 0.711 0.553 Ce
0.458 0.917 0.250 Ce
0.542 0.083 0.750 Ce
0.776 0.552 0.865 Pu
0.224 0.448 0.365 Pu
0.776 0.552 0.635 Pu
0.224 0.448 0.135 Pu
0.936 0.871 0.408 Tl
0.064 0.129 0.908 Tl
0.936 0.871 0.092 Tl
0.064 0.129 0.592 Tl
0.747 0.495 0.250 Tl
0.253 0.505 0.750 Tl
```



# 2
First-principles (GGA-PBE) data for a relaxed Ce5PuTl4 crystal, as listed in Alexandria.

DOS at the Fermi energy: 2.03 states/eV/atom
spin magnetization: 0.459 μB per atom
DFT total energy: -5.539 eV/atom

```
Ce5PuTl4
1.0
8.186 0.654 -3.776
-2.337 4.455 -2.456
-1.798 -0.307 8.283
Ce Pu Tl
5 1 4
Direct
0.004 0.511 0.238 Ce
0.434 0.335 0.476 Ce
0.837 0.070 0.667 Ce
0.170 0.929 0.844 Ce
0.600 0.702 0.044 Ce
0.821 0.700 0.946 Pu
0.307 0.642 0.159 Tl
0.704 0.381 0.341 Tl
0.102 0.211 0.531 Tl
0.512 0.010 0.754 Tl
```



# 3
First-principles (GGA-PBE) data for a relaxed Ce14PuTl crystal, as listed in Alexandria.

DOS at the Fermi energy: 2.56 states/eV/atom
spin magnetization: 0.202 μB per atom
DFT total energy: -6.245 eV/atom

```
Ce14PuTl
1.0
6.618 0.887 0.000
-0.889 6.618 0.000
0.000 0.000 9.421
Ce Pu Tl
14 1 1
Direct
0.375 0.625 0.500 Ce
0.875 0.125 0.500 Ce
0.875 0.626 0.000 Ce
0.875 0.625 0.500 Ce
0.374 0.125 0.000 Ce
0.375 0.125 0.500 Ce
0.622 0.872 0.750 Ce
0.622 0.872 0.250 Ce
0.128 0.378 0.750 Ce
0.128 0.378 0.250 Ce
0.128 0.872 0.750 Ce
0.128 0.872 0.250 Ce
0.622 0.378 0.751 Ce
0.622 0.378 0.249 Ce
0.875 0.125 0.000 Pu
0.374 0.626 0.000 Tl
```



# 4
First-principles (GGA-PBE) data for a relaxed Ce8PuTl2 crystal, as listed in Alexandria.

DOS at the Fermi energy: 2.54 states/eV/atom
spin magnetization: 0.041 μB per atom
energy above the most stable polymorph in this dataset: 132.3 meV per atom

```
Ce8PuTl2
1.0
4.937 -1.172 -0.914
-1.682 7.710 -4.571
-1.115 -0.513 9.037
Ce Pu Tl
8 1 2
Direct
0.784 0.316 0.077 Ce
0.784 0.077 0.316 Ce
0.098 0.508 0.508 Ce
0.020 0.141 0.713 Ce
0.020 0.713 0.141 Ce
0.947 0.860 0.860 Ce
0.333 0.928 0.576 Ce
0.333 0.576 0.928 Ce
0.540 0.952 0.952 Pu
0.569 0.623 0.339 Tl
0.569 0.339 0.623 Tl
```



Repeat the first record exactly.
First-principles (GGA-PBE) data for a relaxed Ce3Pu2Tl3 crystal, as listed in Alexandria.

DOS at the Fermi energy: 1.58 states/eV/atom
spin magnetization: 1.865 μB per atom
DFT total energy: -6.778 eV/atom

```
Ce3Pu2Tl3
1.0
4.841 0.000 0.000
-2.420 5.570 0.000
0.000 0.000 16.517
Ce Pu Tl
6 4 6
Direct
0.645 0.289 0.447 Ce
0.355 0.711 0.947 Ce
0.645 0.289 0.053 Ce
0.355 0.711 0.553 Ce
0.458 0.917 0.250 Ce
0.542 0.083 0.750 Ce
0.776 0.552 0.865 Pu
0.224 0.448 0.365 Pu
0.776 0.552 0.635 Pu
0.224 0.448 0.135 Pu
0.936 0.871 0.408 Tl
0.064 0.129 0.908 Tl
0.936 0.871 0.092 Tl
0.064 0.129 0.592 Tl
0.747 0.495 0.250 Tl
0.253 0.505 0.750 Tl
```